Record 1
An optimized crystal structure of In2AuN2. Source: Alexandria via LeMat-Bulk, functional PBE.

Calculated values
- E above lowest polymorph (meV per atom) = 292.5
- formation energy (no corrections) (eV/atom) = 0.83
- calculated volume (Å³/cell) = 168

abc: 6.911 6.911 3.515
angles: 90.00 90.00 90.00
Space group P4/mbm (No. 127)
Asymmetric unit:
In (0.139, 0.361, 0.000) (multiplicity 4)
Au (0.000, 0.000, 0.500) (multiplicity 2)
N (0.231, 0.731, 0.500) (multiplicity 4)

Record 2
An optimized crystal structure of PrNdErCd. Source: Alexandria via LeMat-Bulk, functional PBE.

Calculated values
- E_form (eV/atom) = -0.05
- E above lowest polymorph (meV per atom) = 96.6
- calculated volume (Å³/cell) = 488

abc: 7.871 7.871 7.871
angles: 90.00 90.00 90.00
Space group F-43m (No. 216)
Asymmetric unit:
Pr (0.000, 0.000, 0.000) (multiplicity 4)
Nd (0.000, 0.000, 0.500) (multiplicity 4)
Er (0.250, 0.250, 0.250) (multiplicity 4)
Cd (0.250, 0.250, 0.750) (multiplicity 4)

Record 3
An optimized crystal structure of MgSi. Source: Alexandria via LeMat-Bulk, functional PBE.

Calculated values
- formation energy (no corrections) (eV/atom) = 0.01
- calculated volume (Å³/cell) = 226

abc: 5.574 5.618 7.680
angles: 91.36 107.54 99.16
Space group P-1 (No. 2)
Asymmetric unit:
Mg (0.183, 0.272, 0.040) (multiplicity 2)
Mg (0.210, 0.612, 0.699) (multiplicity 2)
Mg (0.241, 0.858, 0.353) (multiplicity 2)
Si (0.255, 0.120, 0.676) (multiplicity 2)
Si (0.311, 0.362, 0.422) (multiplicity 2)
Si (0.376, 0.820, 0.045) (multiplicity 2)

Record 4
An optimized crystal structure of ReTeF. Source: Alexandria via LeMat-Bulk, functional PBE.

Calculated values
- E above lowest polymorph (meV per atom) = 374.7
- formation energy (no corrections) (eV/atom) = -0.05
- calculated volume (Å³/cell) = 100

abc: 3.111 4.268 7.495
angles: 90.00 90.00 90.00
Space group Imm2 (No. 44)
Asymmetric unit:
Re (0.000, 0.000, 0.000) (multiplicity 2)
Te (0.000, 0.000, 0.373) (multiplicity 2)
F (0.000, 0.000, 0.726) (multiplicity 2)

Record 5
An optimized crystal structure of TcHg. Source: Alexandria via LeMat-Bulk, functional PBE.

Calculated values
- E_form (eV/atom) = 0.43
- E above lowest polymorph (meV per atom) = 181.7
- calculated volume (Å³/cell) = 219

abc: 9.514 2.945 8.540
angles: 90.00 113.97 90.00
Space group C2/m (No. 12)
Asymmetric unit:
Tc (0.000, 0.000, 0.000) (multiplicity 2)
Tc (0.168, 0.500, 0.876) (multiplicity 4)
Hg (0.000, 0.000, 0.500) (multiplicity 2)
Hg (0.170, 0.500, 0.306) (multiplicity 4)

Record 6
An optimized crystal structure of Tm4Al. Source: Alexandria via LeMat-Bulk, functional PBE.

Calculated values
- E_form (eV/atom) = 0.52
- E above lowest polymorph (meV per atom) = 499.1
- calculated volume (Å³/cell) = 1331

abc: 11.000 11.000 11.000
angles: 90.00 90.00 90.00
Space group Fd-3m (No. 227, origin choice 2)
Asymmetric unit:
Tm (0.020, 0.020, 0.230) (multiplicity 32)
Al (0.125, 0.125, 0.625) (multiplicity 8)

Record 7
An optimized crystal structure of In5Sn6Pb. Source: Alexandria via LeMat-Bulk, functional PBE.

Calculated values
- E_form (eV/atom) = 0.03
- calculated volume (Å³/cell) = 669

abc: 11.185 13.798 4.695
angles: 90.00 112.52 90.00
Space group C2/m (No. 12)
Asymmetric unit:
In (0.000, 0.000, 0.000) (multiplicity 2)
In (0.000, 0.164, 0.500) (multiplicity 4)
In (0.000, 0.327, 0.000) (multiplicity 4)
Sn (0.247, 0.000, 0.752) (multiplicity 4)
Sn (0.249, 0.167, 0.249) (multiplicity 8)
Pb (0.000, 0.500, 0.500) (multiplicity 2)

Record 8
An optimized crystal structure of Y3ErSn2C. Source: Alexandria via LeMat-Bulk, functional PBE.

Calculated values
- E_form (eV/atom) = -0.71
- calculated volume (Å³/cell) = 365

abc: 4.765 4.795 15.956
angles: 90.00 90.00 90.00
Space group Immm (No. 71)
Asymmetric unit:
Y (0.000, 0.000, 0.000) (multiplicity 2)
Y (0.000, 0.500, 0.160) (multiplicity 4)
Er (0.000, 0.000, 0.500) (multiplicity 2)
Sn (0.000, 0.500, 0.360) (multiplicity 4)
C (0.000, 0.500, 0.000) (multiplicity 2)